The following is a DFT calculation (PBE) of crystalline SrMg9Tl3 at its relaxed geometry.

Calculated values
**ΔE_f**: -0.06 eV/atom

Structure (extended XYZ):
```
13
Lattice="-0.991 4.410 -4.151 -7.286 -0.431 -3.042 -2.984 6.662 3.254" Properties=species:S:1:pos:R:3 pbc="T T T"
Mg -6.694 6.443 -4.890
Tl -1.988 5.536 -0.449
Mg -4.415 7.334 -0.163
Tl -4.138 1.990 -3.596
Sr 0.000 0.000 0.000
Mg -8.765 8.062 -2.803
Mg -6.922 5.534 -1.265
Mg -6.846 3.307 -3.776
Mg -4.567 4.199 0.951
Tl -1.492 3.331 1.627
Mg -4.339 5.108 -2.674
Mg -3.643 -0.216 -1.521
Mg -2.496 2.579 -1.136
```



The following is a DFT calculation (PBE) of crystalline BeBiHPb at its relaxed geometry.

Calculated values
**Energy above the lowest structure with this stoichiometry**: 0 meV per atom

Structure (extended XYZ):
```
4
Lattice="-1.717 -0.336 -3.962 4.261 -0.529 0.565 -0.708 -4.929 0.725" Properties=species:S:1:pos:R:3 pbc="T T T"
Bi -0.122 -0.853 0.125
Pb 1.807 -3.677 -0.471
H -0.182 -3.582 -1.985
Be 0.021 -2.170 -2.193
```



The following is a DFT calculation (PBE) of crystalline AcCo2H8 at its relaxed geometry.

Calculated values
**VASP energy**: -4.333 eV per atom

Structure (extended XYZ):
```
11
Lattice="4.447 0.066 -0.029 -0.079 4.115 -2.064 0.026 -0.036 4.604" Properties=species:S:1:pos:R:3 pbc="T T T"
H 4.015 1.315 2.472
Co 2.394 2.780 0.093
H 3.976 2.855 -0.002
H 2.273 0.107 1.400
H 3.279 2.083 1.245
H 2.242 1.335 -0.573
H 2.218 2.782 3.070
H 1.347 2.046 1.252
Ac 0.001 4.072 2.535
Co 2.430 1.345 2.399
H 2.187 4.014 1.091
```